Material: InSi2Ru
Method: DFT, meta-GGA SCAN
State: PBEsol geometry

Properties
raw formation energy	0.342	eV per atom
total moment	0.00	μB per formula unit

POSCAR file:
```
InSi2Ru
1.0
-1.5521 2.4136 4.2673
1.5521 -2.4136 4.2673
1.5521 2.4136 -4.2673
In Si Ru
1 2 1
Direct
0.0000 0.0000 0.0000
0.2771 0.7771 0.5000
0.7229 0.2229 0.5000
0.5000 0.5000 0.0000
```